[1]
Computed, not measured: a geometry-optimized V2MoOs8 structure at the GGA-PBE level of DFT.

Properties
Fermi-level density of states in states/eV per atom: 0.8564
DFT total energy in eV per cell: -114.98
ΔH_f (0 K) in eV per atom: 0.36

a = 6.967 Å, b = 6.967 Å, c = 4.394 Å
α = 100.15°, β = 100.15°, γ = 122.88°
Fractional positions:
V  0.199  0.801  0.000
V  0.801  0.199  0.000
Mo  0.500  0.500  0.500
Os  0.093  0.093  0.297
Os  0.178  0.397  0.857
Os  0.282  0.718  0.500
Os  0.397  0.178  0.857
Os  0.603  0.822  0.143
Os  0.718  0.282  0.500
Os  0.822  0.603  0.143
Os  0.907  0.907  0.703

***

[2]
Computed, not measured: a geometry-optimized V7Mo2Os2 structure at the GGA-PBE level of DFT.

Properties
Fermi-level density of states in states/eV per atom: 0.9731
DFT total energy in eV per cell: -106.38
ΔH_f (0 K) in eV per atom: 0.14

a = 4.929 Å, b = 5.543 Å, c = 7.008 Å
α = 98.53°, β = 107.10°, γ = 114.29°
Fractional positions:
V  0.000  0.000  0.000
V  0.055  0.399  0.314
V  0.162  0.392  0.939
V  0.208  0.977  0.439
V  0.792  0.023  0.561
V  0.838  0.608  0.061
V  0.945  0.601  0.686
Mo  0.437  0.588  0.689
Mo  0.563  0.412  0.311
Os  0.479  0.121  0.828
Os  0.521  0.879  0.172